Entry 1:
{
  "formula": "Ac6TlRh",
  "functional": "PBE",
  "state": "relaxed",
  "lattice_angstrom": [[4.1822, -5.7343, 0.0000], [4.1822, 5.7343, 0.0000], [-1.6941, 0.0000, 6.9990]],
  "species": ["Ac", "Ac", "Ac", "Ac", "Ac", "Ac", "Tl", "Rh"],
  "frac_coords": [[0.0370, 0.6805, 0.7211], [0.2822, 0.2822, 0.8373], [0.3195, 0.9630, 0.2789], [0.6805, 0.0370, 0.7211], [0.7178, 0.7178, 0.1627], [0.9630, 0.3195, 0.2789], [0.5000, 0.5000, 0.5000], [0.0000, 0.0000, 0.0000]],
  "e_form_mev_per_atom": -167,
  "total_energy_ev_per_cell": -35.704,
  "crystal_system": "monoclinic"
}

---

Entry 2:
{
  "formula": "CuHg3Cl",
  "functional": "PBE",
  "state": "relaxed",
  "lattice_angstrom": [[5.7620, 0.0000, 0.0000], [0.0000, 5.7620, 0.0000], [0.0000, 0.0000, 5.7620]],
  "species": ["Cu", "Hg", "Hg", "Hg", "Cl"],
  "frac_coords": [[0.0000, 0.0000, 0.0000], [0.0000, 0.5000, 0.5000], [0.5000, 0.0000, 0.5000], [0.5000, 0.5000, 0.0000], [0.5000, 0.5000, 0.5000]],
  "total_energy_ev_per_cell": -3.473,
  "raw_formation_energy_ev_per_atom": 0.675,
  "crystal_system": "cubic"
}